(1)
Computed, not measured: an optimized crystal structure of KReTe3Au at the GGA-PBE level of DFT.

a = 8.351 Å, b = 8.351 Å, c = 10.908 Å
α = 90.00°, β = 90.00°, γ = 152.02°
Fractional positions:
Re  0.000  0.000  0.000
Te  0.383  0.617  0.481
K  0.238  0.762  0.750
Te  0.939  0.061  0.750
Au  0.438  0.562  0.250
Te  0.617  0.383  0.519
Te  0.617  0.383  0.981
Te  0.383  0.617  0.019
Au  0.562  0.438  0.750
K  0.762  0.238  0.250
Re  0.000  0.000  0.500
Te  0.061  0.939  0.250

## Properties
space-group type = No. 63

(2)
Computed, not measured: an optimized crystal structure of K4Au6S5 at the GGA-PBE level of DFT.

a = 9.789 Å, b = 9.789 Å, c = 10.059 Å
α = 90.00°, β = 90.00°, γ = 120.00°
Fractional positions:
K  0.347  0.416  0.750
S  0.775  0.741  0.750
S  0.741  0.775  0.250
Au  0.834  0.283  0.913
S  0.667  0.333  0.451
S  0.333  0.667  0.951
Au  0.834  0.283  0.587
Au  0.449  0.166  0.587
Au  0.449  0.166  0.913
S  0.259  0.034  0.750
Au  0.283  0.834  0.087
K  0.000  0.000  0.000
S  0.966  0.225  0.750
Au  0.166  0.449  0.413
S  0.225  0.966  0.250
Au  0.551  0.717  0.087
K  0.584  0.930  0.750
K  0.070  0.653  0.750
S  0.034  0.259  0.250
S  0.333  0.667  0.549
Au  0.551  0.717  0.413
Au  0.717  0.551  0.587
K  0.930  0.584  0.250
K  0.653  0.070  0.250
Au  0.717  0.551  0.913
S  0.667  0.333  0.049
K  0.000  0.000  0.500
Au  0.283  0.834  0.413
Au  0.166  0.449  0.087
K  0.416  0.347  0.250

## Properties
space-group type = No. 190

(3)
Computed, not measured: an optimized crystal structure of KAuS at the GGA-PBE level of DFT.

a = 6.951 Å, b = 5.078 Å, c = 5.078 Å
α = 77.55°, β = 90.00°, γ = 90.00°
Fractional positions:
K  0.000  0.372  0.372
Au  0.250  0.000  0.000
Au  0.750  0.000  0.000
S  0.000  0.804  0.804
K  0.500  0.627  0.627
S  0.500  0.197  0.197

## Properties
space-group type = No. 38

(4)
Computed, not measured: an optimized crystal structure of K2Au2SeS at the GGA-PBE level of DFT.

a = 6.996 Å, b = 5.171 Å, c = 5.171 Å
α = 77.88°, β = 90.00°, γ = 90.00°
Fractional positions:
Au  0.757  0.003  0.003
S  0.000  0.202  0.202
K  0.000  0.629  0.629
Au  0.243  0.003  0.003
K  0.500  0.369  0.369
Se  0.500  0.794  0.794

## Properties
space-group type = No. 38

Calculated total energy (eV/atom), listed in the same order as above: -4.38; -3.63; -3.60; -3.48